[1]
Below is a PBEsol-optimized structure of TcTe2S, with properties calculated at the meta-GGA SCAN level.

Output
magnetization = 0.00 μB/f.u.
DOS at the Fermi energy = 3.5 states/eV/f.u.
calculated total energy = -29.5378 eV/atom

Cell and atoms, written as CIF:
```
data_TcTe2S
_cell_length_a 3.844
_cell_length_b 3.844
_cell_length_c 23.697
_cell_angle_alpha 90.00
_cell_angle_beta 90.00
_cell_angle_gamma 120.00
_space_group_name_H-M_alt 'P 1'
_space_group_IT_number 1
_space_group_name_Hall 'P 1'
loop_
_atom_site_label
_atom_site_type_symbol
_atom_site_fract_x
_atom_site_fract_y
_atom_site_fract_z
Tc1 Tc 0.000 0.000 0.000
Tc2 Tc 0.333 0.667 0.667
Tc3 Tc 0.667 0.333 0.333
Te1 Te 0.000 0.000 0.395
Te2 Te 0.000 0.000 0.605
Te3 Te 0.333 0.667 0.062
Te4 Te 0.333 0.667 0.272
Te5 Te 0.667 0.333 0.728
Te6 Te 0.667 0.333 0.938
S1 S 0.000 0.000 0.500
S2 S 0.333 0.667 0.167
S3 S 0.667 0.333 0.833
```

***

[2]
Below is a PBEsol-optimized structure of Fe3SnGe, with properties calculated at the meta-GGA SCAN level.

Output
ΔE_f = 1.436 eV per atom
magnetization = 8.50 μB/f.u.
DOS at the Fermi energy = 7.7 states/eV/f.u.

Cell and atoms, written as CIF:
```
data_Fe3SnGe
_cell_length_a 4.676
_cell_length_b 4.676
_cell_length_c 4.676
_cell_angle_alpha 90.00
_cell_angle_beta 90.00
_cell_angle_gamma 90.00
_space_group_name_H-M_alt 'P 1'
_space_group_IT_number 1
_space_group_name_Hall 'P 1'
loop_
_atom_site_label
_atom_site_type_symbol
_atom_site_fract_x
_atom_site_fract_y
_atom_site_fract_z
Fe1 Fe 0.000 0.000 0.500
Fe2 Fe 0.000 0.500 0.000
Fe3 Fe 0.500 0.000 0.000
Sn1 Sn 0.000 0.000 0.000
Ge1 Ge 0.500 0.500 0.500
```